Entry 1:
Here is a geometry-optimized TbSm3Sn2 structure from the Alexandria database. Energies are from PBE.

Distance to the lowest polymorph of the same formula in meV/atom: 0
Size of the total moment in μB/atom: 0.000
Total energy in eV per atom: -5.047

abc: 4.5891 4.5891 8.6811
angles: 90.00 90.00 90.00
Space group P-4m2 (No. 115)
Symmetry-distinct sites (fractional):
Tb1 0.0000 0.0000 0.0000 (multiplicity 1)
Sm1 0.0000 0.5000 0.3489 (multiplicity 2)
Sm2 0.5000 0.5000 0.0000 (multiplicity 1)
Sn1 0.0000 0.5000 0.7212 (multiplicity 2)

=====

Entry 2:
Here is a geometry-optimized TbSm2Sn structure from the Alexandria database. Energies are from PBE.

Distance to the lowest polymorph of the same formula in meV/atom: 183
Size of the total moment in μB/atom: 0.000
Total energy in eV per atom: -4.772

abc: 7.7615 7.7615 7.7615
angles: 90.00 90.00 90.00
Space group Fm-3m (No. 225)
Symmetry-distinct sites (fractional):
Tb1 0.0000 0.0000 0.0000 (multiplicity 4)
Sm1 0.2500 0.2500 0.2500 (multiplicity 8)
Sn1 0.0000 0.0000 0.5000 (multiplicity 4)

=====

Entry 3:
Here is a geometry-optimized Tb4SmSn4 structure from the Alexandria database. Energies are from PBE.

Size of the total moment in μB/atom: 0.000
Total energy in eV per atom: -4.797

abc: 9.8370 9.8370 6.1711
angles: 90.00 90.00 90.00
Space group P4_2/n (No. 86, origin choice 2)
Symmetry-distinct sites (fractional):
Tb1 0.0890 0.6514 0.1391 (multiplicity 8)
Sm1 0.2500 0.2500 0.2500 (multiplicity 2)
Sn1 0.0314 0.6176 0.6461 (multiplicity 8)

=====

Entry 4:
Here is a geometry-optimized Tb2Sm3Sn2 structure from the Alexandria database. Energies are from PBE.

Size of the total moment in μB/atom: 0.000
Total energy in eV per atom: -4.769

abc: 16.9613 3.5221 7.9987
angles: 90.00 116.14 90.00
Space group C2/m (No. 12)
Symmetry-distinct sites (fractional):
Tb1 0.1104 0.0000 0.4697 (multiplicity 4)
Sm1 0.0000 0.0000 0.0000 (multiplicity 2)
Sm2 0.2129 0.0000 0.1579 (multiplicity 4)
Sn1 0.0827 0.5000 0.7750 (multiplicity 4)

=====

Number 2 is which compound?
TbSm2Sn